VASP calculation (GGA+U) on a relaxed VOsF2 crystal.

Cell: 3.6927 3.6927 15.4576 Å, 90.00 90.00 90.00°
Space group I-42d (No. 122)
Unique sites:
V: 0.0000 0.0000 0.0000
Os: 0.0000 0.0000 0.5000
F: 0.2441 0.2500 0.6250

Output
The value obtained for the total DFT energy (no corrections) is -92.52 eV for the cell shown. Its energy relative to the lowest polymorph listed for this composition is 2.17 eV per formula unit. As for the density of states at the Fermi level: 0.394 states/eV per atom.